Computed, not measured: an optimized crystal structure of Mn3Nb2Cr at the PBE-GGA level of DFT.

Values from the calculation:
formation energy from the elements = -0.13 eV/atom
D(E_F) = 7.28 states/eV per cell

Unit cell a=4.815 b=4.815 c=4.815 alpha=61.47 beta=61.47 gamma=61.47
Positions (direct):
1 Mn 0.000 0.500 0.500
2 Mn 0.500 0.000 0.500
3 Mn 0.500 0.500 0.000
4 Nb 0.126 0.126 0.126
5 Nb 0.874 0.874 0.874
6 Cr 0.500 0.500 0.500



Computed, not measured: an optimized crystal structure of MnNb2Cr at the PBE-GGA level of DFT.

Values from the calculation:
formation energy from the elements = 0.36 eV/atom
D(E_F) = 4.51 states/eV per cell

Unit cell a=8.022 b=8.022 c=8.022 alpha=21.59 beta=21.59 gamma=21.59
Positions (direct):
1 Mn 0.000 0.000 0.000
2 Nb 0.250 0.250 0.250
3 Nb 0.750 0.750 0.750
4 Cr 0.500 0.500 0.500



Computed, not measured: an optimized crystal structure of Mn4Nb3Cr2 at the PBE-GGA level of DFT.

Values from the calculation:
formation energy from the elements = 0.20 eV/atom
D(E_F) = 7.63 states/eV per cell

Unit cell a=5.237 b=5.237 c=7.448 alpha=106.25 beta=106.25 gamma=40.90
Positions (direct):
1 Mn 0.080 0.080 0.401
2 Mn 0.283 0.283 0.949
3 Mn 0.717 0.717 0.051
4 Mn 0.920 0.920 0.599
5 Nb 0.000 0.000 0.000
6 Nb 0.383 0.383 0.302
7 Nb 0.617 0.617 0.698
8 Cr 0.315 0.315 0.653
9 Cr 0.685 0.685 0.347



Computed, not measured: an optimized crystal structure of MnNbCr2 at the PBE-GGA level of DFT.

Values from the calculation:
formation energy from the elements = 0.08 eV/atom
D(E_F) = 2.08 states/eV per cell

Unit cell a=4.238 b=4.238 c=4.238 alpha=60.00 beta=60.00 gamma=60.00
Positions (direct):
1 Mn 0.000 0.000 0.000
2 Nb 0.500 0.500 0.500
3 Cr 0.250 0.250 0.250
4 Cr 0.750 0.750 0.750



Computed, not measured: an optimized crystal structure of Mn2NbCr at the PBE-GGA level of DFT.

Values from the calculation:
formation energy from the elements = 0.67 eV/atom
D(E_F) = 4.20 states/eV per cell

Unit cell a=3.925 b=3.925 c=3.805 alpha=90.00 beta=90.00 gamma=102.87
Positions (direct):
1 Mn 0.209 0.791 0.000
2 Mn 0.791 0.209 0.000
3 Nb 0.500 0.500 0.500
4 Cr 0.000 0.000 0.500



Computed, not measured: an optimized crystal structure of MnNb2Cr at the PBE-GGA level of DFT.

Values from the calculation:
formation energy from the elements = -0.05 eV/atom
D(E_F) = 2.77 states/eV per cell

Unit cell a=4.369 b=4.369 c=3.081 alpha=90.00 beta=90.00 gamma=90.00
Positions (direct):
1 Mn 0.000 0.000 0.000
2 Nb 0.000 0.500 0.500
3 Nb 0.500 0.000 0.500
4 Cr 0.500 0.500 0.000



Computed, not measured: an optimized crystal structure of MnNbCr at the PBE-GGA level of DFT.

Values from the calculation:
formation energy from the elements = 0.14 eV/atom
D(E_F) = 2.60 states/eV per cell

Unit cell a=4.191 b=4.191 c=2.685 alpha=90.00 beta=90.00 gamma=120.00
Positions (direct):
1 Mn 0.000 0.000 0.000
2 Nb 0.667 0.333 0.658
3 Cr 0.333 0.667 0.315



Computed, not measured: an optimized crystal structure of Mn2NbCr at the PBE-GGA level of DFT.

Values from the calculation:
formation energy from the elements = 0.52 eV/atom
D(E_F) = 9.37 states/eV per cell

Unit cell a=5.365 b=5.365 c=5.365 alpha=103.36 beta=103.36 gamma=122.53
Positions (direct):
1 Mn 0.090 0.625 0.965
2 Mn 0.375 0.340 0.465
3 Mn 0.660 0.125 0.035
4 Mn 0.875 0.910 0.535
5 Nb 0.250 0.750 0.500
6 Nb 0.500 0.500 0.000
7 Cr 0.000 0.000 0.000
8 Cr 0.750 0.250 0.500



Computed, not measured: an optimized crystal structure of Mn2Nb2Cr at the PBE-GGA level of DFT.

Values from the calculation:
formation energy from the elements = 0.12 eV/atom
D(E_F) = 9.53 states/eV per cell

Unit cell a=5.836 b=5.836 c=4.253 alpha=90.00 beta=90.00 gamma=90.00
Positions (direct):
1 Mn 0.137 0.363 0.000
2 Mn 0.363 0.863 0.000
3 Mn 0.637 0.137 0.000
4 Mn 0.863 0.637 0.000
5 Nb 0.187 0.687 0.500
6 Nb 0.313 0.187 0.500
7 Nb 0.687 0.813 0.500
8 Nb 0.813 0.313 0.500
9 Cr 0.000 0.000 0.000
10 Cr 0.500 0.500 0.000



Computed, not measured: an optimized crystal structure of Mn2NbCr at the PBE-GGA level of DFT.

Values from the calculation:
formation energy from the elements = 0.05 eV/atom
D(E_F) = 4.25 states/eV per cell

Unit cell a=2.879 b=2.879 c=6.204 alpha=90.00 beta=90.00 gamma=90.00
Positions (direct):
1 Mn 0.000 0.000 0.214
2 Mn 0.000 0.000 0.786
3 Nb 0.500 0.500 0.500
4 Cr 0.500 0.500 0.000



Computed, not measured: an optimized crystal structure of Mn3Nb2Cr at the PBE-GGA level of DFT.

Values from the calculation:
formation energy from the elements = 0.25 eV/atom
D(E_F) = 15.93 states/eV per cell

Unit cell a=5.961 b=5.961 c=4.869 alpha=90.00 beta=90.00 gamma=91.10
Positions (direct):
1 Mn 0.091 0.909 0.750
2 Mn 0.271 0.271 0.000
3 Mn 0.271 0.271 0.500
4 Mn 0.729 0.729 0.000
5 Mn 0.729 0.729 0.500
6 Mn 0.909 0.091 0.250
7 Nb 0.078 0.597 0.250
8 Nb 0.403 0.922 0.250
9 Nb 0.597 0.078 0.750
10 Nb 0.922 0.403 0.750
11 Cr 0.398 0.602 0.750
12 Cr 0.602 0.398 0.250



Computed, not measured: an optimized crystal structure of Mn3Nb4Cr at the PBE-GGA level of DFT.

Values from the calculation:
formation energy from the elements = -0.08 eV/atom
D(E_F) = 6.05 states/eV per cell

Unit cell a=3.078 b=3.078 c=12.325 alpha=90.00 beta=90.00 gamma=90.00
Positions (direct):
1 Mn 0.000 0.000 0.000
2 Mn 0.000 0.000 0.248
3 Mn 0.000 0.000 0.752
4 Nb 0.500 0.500 0.125
5 Nb 0.500 0.500 0.374
6 Nb 0.500 0.500 0.626
7 Nb 0.500 0.500 0.875
8 Cr 0.000 0.000 0.500



Computed, not measured: an optimized crystal structure of Mn5NbCr at the PBE-GGA level of DFT.

Values from the calculation:
formation energy from the elements = 0.01 eV/atom
D(E_F) = 39.20 states/eV per cell

Unit cell a=7.736 b=4.581 c=9.726 alpha=90.00 beta=90.00 gamma=90.00
Positions (direct):
1 Mn 0.056 0.250 0.079
2 Mn 0.072 0.512 0.308
3 Mn 0.072 0.988 0.308
4 Mn 0.096 0.750 0.523
5 Mn 0.188 0.750 0.753
6 Mn 0.312 0.250 0.253
7 Mn 0.404 0.250 0.023
8 Mn 0.428 0.012 0.808
9 Mn 0.428 0.488 0.808
10 Mn 0.444 0.750 0.579
11 Mn 0.556 0.250 0.421
12 Mn 0.572 0.512 0.192
13 Mn 0.572 0.988 0.192
14 Mn 0.596 0.750 0.977
15 Mn 0.688 0.750 0.747
16 Mn 0.812 0.250 0.247
17 Mn 0.904 0.250 0.477
18 Mn 0.928 0.012 0.692
19 Mn 0.928 0.488 0.692
20 Mn 0.944 0.750 0.921
21 Nb 0.243 0.750 0.061
22 Nb 0.257 0.250 0.561
23 Nb 0.743 0.750 0.439
24 Nb 0.757 0.250 0.939
25 Cr 0.136 0.250 0.855
26 Cr 0.364 0.750 0.355
27 Cr 0.636 0.250 0.645
28 Cr 0.864 0.750 0.145



Computed, not measured: an optimized crystal structure of MnNbCr at the PBE-GGA level of DFT.

Values from the calculation:
formation energy from the elements = 0.52 eV/atom
D(E_F) = 5.37 states/eV per cell

Unit cell a=3.892 b=4.234 c=5.592 alpha=90.00 beta=90.00 gamma=90.00
Positions (direct):
1 Mn 0.250 0.250 0.200
2 Mn 0.750 0.750 0.800
3 Nb 0.250 0.750 0.498
4 Nb 0.750 0.250 0.502
5 Cr 0.250 0.750 0.006
6 Cr 0.750 0.250 0.994



Computed, not measured: an optimized crystal structure of Mn15Nb2Cr2 at the PBE-GGA level of DFT.

Values from the calculation:
formation energy from the elements = 0.04 eV/atom
D(E_F) = 27.75 states/eV per cell

Unit cell a=6.153 b=6.153 c=6.153 alpha=81.65 beta=81.65 gamma=81.65
Positions (direct):
1 Mn 0.000 0.000 0.500
2 Mn 0.000 0.301 0.699
3 Mn 0.000 0.500 0.000
4 Mn 0.000 0.699 0.301
5 Mn 0.164 0.650 0.650
6 Mn 0.301 0.000 0.699
7 Mn 0.301 0.699 0.000
8 Mn 0.350 0.350 0.836
9 Mn 0.350 0.836 0.350
10 Mn 0.500 0.000 0.000
11 Mn 0.650 0.164 0.650
12 Mn 0.650 0.650 0.164
13 Mn 0.699 0.000 0.301
14 Mn 0.699 0.301 0.000
15 Mn 0.836 0.350 0.350
16 Nb 0.341 0.341 0.341
17 Nb 0.659 0.659 0.659
18 Cr 0.093 0.093 0.093
19 Cr 0.907 0.907 0.907